[1]
This record from the Alexandria database describes a relaxed AuSe3 crystal. The functional is PBE.

abc: 5.417 5.417 2.822
angles: 90.00 90.00 90.00
Fractional coordinates of all 4 atoms:
Au: 0.000 0.000 0.000
Se: 0.000 0.500 0.500
Se: 0.500 0.000 0.500
Se: 0.500 0.500 0.000

Electronic total energy, eV per atom: -2.8991
Formation energy from raw total energies, eV per atom: 0.534
Magnetic moment, μB per atom: 0.000

[2]
This record from the Alexandria database describes a relaxed Mg2NiSn crystal. The functional is PBE.

abc: 4.153 4.153 4.209
angles: 90.00 90.00 90.00
Fractional coordinates of all 4 atoms:
Mg: 0.000 0.500 0.000
Mg: 0.500 0.000 0.000
Ni: 0.000 0.000 0.500
Sn: 0.500 0.500 0.500

Electronic total energy, eV per atom: -3.3457
E_form, eV per atom: -0.1024
Magnetic moment, μB per atom: 0.000

[3]
This record from the Alexandria database describes a relaxed CsNp3Hg2Cl12 crystal. The functional is PBE.

abc: 9.848 9.848 9.848
angles: 63.21 63.21 63.21
Fractional coordinates of all 18 atoms:
Cs: 0.000 0.000 0.000
Np: 0.000 0.000 0.500
Np: 0.000 0.500 0.000
Np: 0.500 0.000 0.000
Hg: 0.411 0.411 0.411
Hg: 0.589 0.589 0.589
Cl: 0.102 0.729 0.729
Cl: 0.131 0.131 0.557
Cl: 0.131 0.557 0.131
Cl: 0.271 0.271 0.898
Cl: 0.271 0.898 0.271
Cl: 0.443 0.869 0.869
Cl: 0.557 0.131 0.131
Cl: 0.729 0.102 0.729
Cl: 0.729 0.729 0.102
Cl: 0.869 0.443 0.869
Cl: 0.869 0.869 0.443
Cl: 0.898 0.271 0.271

Electronic total energy, eV per atom: -4.9694
Formation energy from raw total energies, eV per atom: -1.501
Magnetic moment, μB per atom: 0.556

[4]
This record from the Alexandria database describes a relaxed DyMn2Tl3Te6 crystal. The functional is PBE.

abc: 7.314 7.314 8.362
angles: 98.39 98.39 119.48
Fractional coordinates of all 12 atoms:
Dy: 0.000 0.000 0.000
Mn: 0.331 0.669 0.000
Mn: 0.669 0.331 0.000
Tl: 0.154 0.846 0.500
Tl: 0.500 0.500 0.500
Tl: 0.846 0.154 0.500
Te: 0.066 0.425 0.203
Te: 0.297 0.297 0.808
Te: 0.425 0.066 0.203
Te: 0.575 0.934 0.797
Te: 0.703 0.703 0.192
Te: 0.934 0.575 0.797

Electronic total energy, eV per atom: -4.5389
Formation energy from raw total energies, eV per atom: -0.465
Magnetic moment, μB per atom: 0.682

[5]
This record from the Alexandria database describes a relaxed CsK2RbAu2 crystal. The functional is PBE.

abc: 5.417 10.920 8.941
angles: 90.00 90.00 90.00
Fractional coordinates of all 12 atoms:
Cs: 0.000 0.078 0.000
Cs: 0.000 0.922 0.500
K: 0.000 0.332 0.376
K: 0.000 0.668 0.876
K: 0.500 0.420 0.052
K: 0.500 0.580 0.552
Rb: 0.500 0.189 0.667
Rb: 0.500 0.811 0.167
Au: 0.000 0.367 0.781
Au: 0.000 0.633 0.281
Au: 0.500 0.132 0.279
Au: 0.500 0.868 0.779

Electronic total energy, eV per atom: -1.9560
E_form, eV per atom: -0.1941
Magnetic moment, μB per atom: 0.000

[6]
This record from the Alexandria database describes a relaxed AcNd5DyTm2 crystal. The functional is PBE.

abc: 9.243 9.243 12.234
angles: 90.00 90.00 143.32
Fractional coordinates of all 18 atoms:
Ac: 0.115 0.885 0.500
Ac: 0.885 0.115 0.000
Nd: 0.077 0.923 0.844
Nd: 0.080 0.920 0.165
Nd: 0.269 0.731 0.297
Nd: 0.269 0.731 0.706
Nd: 0.440 0.560 0.148
Nd: 0.560 0.440 0.648
Nd: 0.731 0.269 0.206
Nd: 0.731 0.269 0.797
Nd: 0.920 0.080 0.665
Nd: 0.923 0.077 0.344
Dy: 0.247 0.753 0.001
Dy: 0.753 0.247 0.501
Tm: 0.389 0.611 0.501
Tm: 0.438 0.562 0.855
Tm: 0.562 0.438 0.355
Tm: 0.611 0.389 0.001

Electronic total energy, eV per atom: -4.5285
E_form, eV per atom: 0.0818
Magnetic moment, μB per atom: 0.000

[7]
This record from the Alexandria database describes a relaxed BaBi2Se2 crystal. The functional is PBE.

abc: 8.852 8.852 4.306
angles: 90.00 90.00 90.00
Fractional coordinates of all 10 atoms:
Ba: 0.000 0.000 0.000
Ba: 0.500 0.500 0.000
Bi: 0.201 0.299 0.500
Bi: 0.299 0.799 0.500
Bi: 0.701 0.201 0.500
Bi: 0.799 0.701 0.500
Se: 0.155 0.655 0.000
Se: 0.345 0.155 0.000
Se: 0.655 0.845 0.000
Se: 0.845 0.345 0.000

Electronic total energy, eV per atom: -3.9618
Formation energy from raw total energies, eV per atom: -0.631
Magnetic moment, μB per atom: 0.000
Offset from the most stable computed form, meV per atom: 19

[8]
This record from the Alexandria database describes a relaxed RbLiSb2S4 crystal. The functional is PBE.

abc: 7.181 7.181 14.192
angles: 90.00 90.00 147.23
Fractional coordinates of all 16 atoms:
Rb: 0.104 0.896 0.750
Rb: 0.896 0.104 0.250
Li: 0.168 0.832 0.250
Li: 0.832 0.168 0.750
Sb: 0.367 0.633 0.561
Sb: 0.367 0.633 0.939
Sb: 0.633 0.367 0.061
Sb: 0.633 0.367 0.439
S: 0.000 0.000 0.000
S: 0.000 0.000 0.500
S: 0.259 0.741 0.105
S: 0.259 0.741 0.395
S: 0.418 0.582 0.750
S: 0.582 0.418 0.250
S: 0.741 0.259 0.605
S: 0.741 0.259 0.895

Electronic total energy, eV per atom: -4.1152
Formation energy from raw total energies, eV per atom: -0.661
Magnetic moment, μB per atom: 0.000